Entry 1:
Material: Mg4Sn3
Method: DFT, PBE
State: optimized geometry

Calculated values
polymorph energy (0 for the lowest one): 0.044 eV per atom
calculated volume: 172.85 Å³/f.u.
formation energy from the elements: -51 kJ/mol of formula units

Unit cell a=7.6579 b=7.6579 c=7.6579 alpha=109.47 beta=109.47 gamma=109.47
Element x y z (fractional)
Mg 0.0000 0.1642 0.5000
Mg 0.0000 0.6642 0.5000
Mg 0.1642 0.5000 0.0000
Mg 0.3358 0.3358 0.3358
Mg 0.5000 0.0000 0.1642
Mg 0.5000 0.0000 0.6642
Mg 0.6642 0.5000 0.0000
Mg 0.8358 0.8358 0.8358
Sn 0.1250 0.8750 0.2500
Sn 0.2500 0.1250 0.8750
Sn 0.3750 0.6250 0.7500
Sn 0.6250 0.7500 0.3750
Sn 0.7500 0.3750 0.6250
Sn 0.8750 0.2500 0.1250



Entry 2:
Material: DyCo2Si
Method: DFT, PBE
State: optimized geometry

Calculated values
E_form (uncorrected): -399 meV per atom
calculated volume: 63.27 Å³/f.u.

Unit cell a=3.7638 b=3.7638 c=8.9331 alpha=90.00 beta=90.00 gamma=90.00
Element x y z (fractional)
Dy 0.2500 0.2500 0.2151
Dy 0.7500 0.7500 0.7849
Co 0.2500 0.2500 0.9038
Co 0.2500 0.7500 0.5000
Co 0.7500 0.2500 0.5000
Co 0.7500 0.7500 0.0962
Si 0.2500 0.2500 0.6429
Si 0.7500 0.7500 0.3571